## Ba2ReCl (GGA-PBE)

Data for a relaxed Ba2ReCl crystal.

Geometry as extended XYZ:
```
4
Lattice="3.694 0.000 0.000 0.000 3.714 0.000 0.000 0.000 8.767" Properties=species:S:1:pos:R:3 pbc="T T T"
Ba 0.000 0.000 2.081
Ba 0.000 0.000 6.685
Re 1.847 1.857 0.000
Cl 1.847 1.857 4.383
```

Spin magnetization (μB/atom): 0.3557
ΔE to the lowest computed polymorph (eV/atom): 0.000
Energy relative to the elements, uncorrected (eV per atom): -0.03
Crystal system: orthorhombic

## Ba2Re4Cl (GGA-PBE)

Data for a relaxed Ba2Re4Cl crystal.

Geometry as extended XYZ:
```
7
Lattice="-2.206 2.206 9.154 2.206 -2.206 9.154 2.206 2.206 -9.154" Properties=species:S:1:pos:R:3 pbc="T T T"
Ba 0.000 0.000 3.055
Ba 0.000 0.000 15.253
Re 2.206 0.000 0.000
Re 0.000 0.000 7.026
Re 0.000 2.206 0.000
Re 0.000 0.000 11.282
Cl 0.000 0.000 9.154
```

Spin magnetization (μB/atom): 0.0000
Energy relative to the elements, uncorrected (eV per atom): 1.80
Crystal system: tetragonal

## BaReCl (GGA-PBE)

Data for a relaxed BaReCl crystal.

Geometry as extended XYZ:
```
3
Lattice="0.000 3.889 3.889 3.889 0.000 3.889 3.889 3.889 0.000" Properties=species:S:1:pos:R:3 pbc="T T T"
Ba 0.000 0.000 0.000
Re 1.945 1.945 1.945
Cl 5.834 5.834 5.834
```

Spin magnetization (μB/atom): 1.3333
ΔE to the lowest computed polymorph (eV/atom): 0.258
Energy relative to the elements, uncorrected (eV per atom): 1.01
Crystal system: cubic

## BaReCl (GGA-PBE)

Data for a relaxed BaReCl crystal.

Geometry as extended XYZ:
```
3
Lattice="5.150 0.000 0.000 -2.575 4.460 0.000 0.000 0.000 3.574" Properties=species:S:1:pos:R:3 pbc="T T T"
Ba 0.000 0.000 0.000
Re 0.000 2.974 1.787
Cl 2.575 1.487 1.787
```

Spin magnetization (μB/atom): 1.2501
ΔE to the lowest computed polymorph (eV/atom): 0.040
Energy relative to the elements, uncorrected (eV per atom): 0.79
Crystal system: hexagonal

## BaRe3Cl (GGA-PBE)

Data for a relaxed BaRe3Cl crystal.

Geometry as extended XYZ:
```
5
Lattice="6.218 0.000 0.000 0.000 6.218 0.000 0.000 0.000 6.218" Properties=species:S:1:pos:R:3 pbc="T T T"
Ba 0.000 0.000 0.000
Re 0.000 0.000 3.109
Re 0.000 3.109 0.000
Re 3.109 0.000 0.000
Cl 3.109 3.109 3.109
```

Spin magnetization (μB/atom): 2.8000
ΔE to the lowest computed polymorph (eV/atom): 1.962
Energy relative to the elements, uncorrected (eV per atom): 3.88
Crystal system: cubic

## BaReCl3 (GGA-PBE)

Data for a relaxed BaReCl3 crystal.

Geometry as extended XYZ:
```
5
Lattice="5.972 0.000 0.000 0.000 5.972 0.000 0.000 0.000 5.972" Properties=species:S:1:pos:R:3 pbc="T T T"
Ba 0.000 0.000 0.000
Re 2.986 2.986 2.986
Cl 0.000 0.000 2.986
Cl 0.000 2.986 0.000
Cl 2.986 0.000 0.000
```

Spin magnetization (μB/atom): 1.2000
ΔE to the lowest computed polymorph (eV/atom): 0.362
Energy relative to the elements, uncorrected (eV per atom): -0.18
Crystal system: cubic

## BaReCl (GGA-PBE)

Data for a relaxed BaReCl crystal.

Geometry as extended XYZ:
```
3
Lattice="0.000 3.691 3.691 3.691 0.000 3.691 3.691 3.691 0.000" Properties=species:S:1:pos:R:3 pbc="T T T"
Ba 0.000 0.000 0.000
Re 3.691 3.691 3.691
Cl 1.846 1.846 1.846
```

Spin magnetization (μB/atom): 1.3333
ΔE to the lowest computed polymorph (eV/atom): 0.140
Energy relative to the elements, uncorrected (eV per atom): 0.89
Crystal system: cubic

## Ba2ReCl (GGA-PBE)

Data for a relaxed Ba2ReCl crystal.

Geometry as extended XYZ:
```
4
Lattice="0.000 3.975 3.975 3.975 0.000 3.975 3.975 3.975 0.000" Properties=species:S:1:pos:R:3 pbc="T T T"
Ba 1.987 1.987 1.987
Ba 5.962 5.962 5.962
Re 0.000 0.000 0.000
Cl 3.975 3.975 3.975
```

Spin magnetization (μB/atom): 0.5094
ΔE to the lowest computed polymorph (eV/atom): 0.297
Energy relative to the elements, uncorrected (eV per atom): 0.27
Crystal system: cubic

| no. | D(E_F) (states/eV per atom) | calculated volume (A^3/atom) |
| --- | --- | --- |
| 1 | 0.76 | 30.06 |
| 2 | 1.29 | 25.46 |
| 3 | 1.57 | 39.22 |
| 4 | 0.92 | 27.37 |
| 5 | 1.44 | 48.09 |
| 6 | 0.00 | 42.60 |
| 7 | 0.97 | 33.52 |
| 8 | 1.21 | 31.40 |